Record 1
Computed, not measured: crystalline SmGa8Ni4 at its relaxed geometry at the PBE-GGA level of DFT.

The calculation puts the calculated total energy at -0.16306 hartree per atom. The formation enthalpy at 0 K comes out at -0.432 eV per atom. The calculation puts the total magnetization at 0.000 μB per atom.

The structure belongs to space group I4/mmm (No. 139); the cell edges are 8.637, 8.637 and 5.183 Å and the angles 90.00°, 90.00° and 90.00°. The distinct sites, in fractional coordinates, are Sm at (0.000, 0.000, 0.000), Ga at (0.000, 0.223, 0.500), Ga at (0.000, 0.344, 0.000) and Ni at (0.250, 0.250, 0.250).



Record 2
Computed, not measured: crystalline Zn4TcIr at its relaxed geometry at the PBE-GGA level of DFT.

The calculation puts the calculated total energy at -0.14491 hartree per atom. The formation enthalpy at 0 K comes out at 0.110 eV per atom. The calculation puts the total magnetization at 0.267 μB per atom.

The structure belongs to space group F-43m (No. 216); the cell edges are 6.927, 6.927 and 6.927 Å and the angles 90.00°, 90.00° and 90.00°. The distinct sites, in fractional coordinates, are Zn at (0.125, 0.125, 0.125), Tc at (0.000, 0.000, 0.500) and Ir at (0.250, 0.250, 0.750).



Record 3
Computed, not measured: crystalline TbCeIn6 at its relaxed geometry at the PBE-GGA level of DFT.

The calculation puts the calculated total energy at -0.13763 hartree per atom. As for the energy above the most stable polymorph in this dataset: 5.1 kJ/mol of atoms. The formation enthalpy at 0 K comes out at -0.371 eV per atom. The calculation puts the total magnetization at 0.100 μB per atom.

The structure belongs to space group Amm2 (No. 38); the cell edges are 5.278, 6.709 and 11.616 Å and the angles 90.00°, 90.00° and 90.00°. The distinct sites, in fractional coordinates, are Tb at (0.000, 0.000, 0.000), Ce at (0.500, 0.000, 0.333), In at (0.000, 0.000, 0.506), In at (0.000, 0.238, 0.746), In at (0.500, 0.000, 0.828) and In at (0.500, 0.241, 0.586).



Record 4
Computed, not measured: crystalline ScNbN2 at its relaxed geometry at the PBE-GGA level of DFT.

The calculation puts the calculated total energy at -0.34933 hartree per atom. The calculation puts the total magnetization at 0.000 μB per atom.

The structure belongs to space group P-3m1 (No. 164); the cell edges are 3.0973, 3.0973 and 5.5311 Å and the angles 90.00°, 90.00° and 120.00°. The distinct sites, in fractional coordinates, are Sc at (0.0000, 0.0000, 0.0000), Nb at (0.0000, 0.0000, 0.5000) and N at (0.3333, 0.6667, 0.2504).